1.
# Sc5As3

A relaxed structure of Sc5As3 (PBE-GGA, the Alexandria database).

abc: 8.2440 7.6611 7.6598
angles: 95.96 95.62 137.30
Fractional coordinates of all 16 atoms:
Sc 0.2496 0.7450 0.4949
Sc 0.7496 0.2550 0.5051
Sc 0.8556 0.1371 0.8551
Sc 0.1436 0.8629 0.1449
Sc 0.6433 0.4987 0.2812
Sc 0.3559 0.5013 0.7188
Sc 0.5511 0.2337 0.8765
Sc 0.4481 0.7663 0.1235
Sc 0.0506 0.1744 0.3178
Sc 0.9486 0.8256 0.6822
As 0.7497 0.7487 0.9988
As 0.2494 0.2513 0.0012
As 0.3668 0.1867 0.5201
As 0.6323 0.8133 0.4799
As 0.1321 0.6527 0.8193
As 0.8670 0.3473 0.1807

Properties
space-group type	No. 15
polymorph energy (0 for the lowest one)	83	kJ/mol of formula units
D(E_F)	11.81	states/eV per cell
ΔH_f (0 K)	-1.01	eV/atom

---

2.
# La3PmGa2

A relaxed structure of La3PmGa2 (PBE-GGA, the Alexandria database).

abc: 4.6131 10.5250 9.4721
angles: 125.19 90.00 102.66
Fractional coordinates of all 12 atoms:
La 0.3191 0.6381 0.5717
La 0.9531 0.9062 0.5902
La 0.6522 0.3045 0.8295
La 0.3478 0.6955 0.1705
La 0.0469 0.0938 0.4098
La 0.6809 0.3619 0.4283
Pm 0.8860 0.7721 0.9056
Pm 0.1140 0.2279 0.0944
Ga 0.5032 0.0063 0.8653
Ga 0.4968 0.9937 0.1347
Ga 0.7653 0.5305 0.2499
Ga 0.2347 0.4695 0.7501

Properties
space-group type	No. 12
polymorph energy (0 for the lowest one)	31	kJ/mol of formula units
D(E_F)	12.98	states/eV per cell
ΔH_f (0 K)	-0.36	eV/atom

---

3.
# CaEuEr

A relaxed structure of CaEuEr (PBE-GGA, the Alexandria database).

abc: 3.7194 3.7194 9.2660
angles: 90.00 90.00 120.00
Fractional coordinates of all 3 atoms:
Eu 0.3333 0.6667 0.6543
Ca 0.0000 0.0000 0.0096
Er 0.6667 0.3333 0.3360

Properties
space-group type	No. 156
polymorph energy (0 for the lowest one)	0	kJ/mol of formula units
D(E_F)	4.20	states/eV per cell
ΔH_f (0 K)	0.10	eV/atom

---

4.
# RbMgNb

A relaxed structure of RbMgNb (PBE-GGA, the Alexandria database).

abc: 3.3089 6.4833 10.3091
angles: 112.04 99.19 75.24
Fractional coordinates of all 6 atoms:
Mg 0.6510 0.3303 0.5929
Mg 0.2746 0.9097 0.4185
Nb 0.9778 0.4798 0.3952
Nb 0.5692 0.1658 0.2636
Rb 0.9579 0.9119 0.7834
Rb 0.2667 0.5600 0.0557

Properties
space-group type	No. 1
polymorph energy (0 for the lowest one)	76	kJ/mol of formula units
D(E_F)	5.50	states/eV per cell
ΔH_f (0 K)	0.64	eV/atom

---

5.
# Ho3Er4Hg4

A relaxed structure of Ho3Er4Hg4 (PBE-GGA, the Alexandria database).

abc: 5.1596 7.1109 9.4078
angles: 112.21 105.92 90.00
Fractional coordinates of all 11 atoms:
Ho 0.1017 0.1017 0.2035
Ho 0.8983 0.8983 0.7965
Ho 0.0000 0.5000 0.0000
Er 0.3213 0.0865 0.6425
Er 0.6787 0.4440 0.3575
Er 0.6787 0.9135 0.3575
Er 0.3213 0.5560 0.6425
Hg 0.1833 0.6833 0.3665
Hg 0.8167 0.3167 0.6335
Hg 0.5000 0.7905 0.0000
Hg 0.5000 0.2095 0.0000

Properties
space-group type	No. 71
D(E_F)	7.23	states/eV per cell
ΔH_f (0 K)	-0.25	eV/atom

---

6.
# ZrTlMo2

A relaxed structure of ZrTlMo2 (PBE-GGA, the Alexandria database).

abc: 2.9595 2.9595 9.2649
angles: 90.00 90.00 109.24
Fractional coordinates of all 4 atoms:
Mo 0.0000 0.0000 0.9942
Mo 0.0000 0.0000 0.5058
Tl 0.5000 0.5000 0.2500
Zr 0.5000 0.5000 0.7500

Properties
space-group type	No. 65
polymorph energy (0 for the lowest one)	121	kJ/mol of formula units
D(E_F)	4.94	states/eV per cell
ΔH_f (0 K)	0.46	eV/atom

---

7.
# TbPuTc

A relaxed structure of TbPuTc (PBE-GGA, the Alexandria database).

abc: 4.3694 4.3700 8.0759
angles: 105.70 105.70 90.00
Fractional coordinates of all 6 atoms:
Tb 0.6679 0.8323 0.3358
Tb 0.3321 0.4966 0.6642
Pu 0.8920 0.0564 0.7840
Pu 0.1080 0.2724 0.2160
Tc 0.5000 0.1644 0.0000
Tc 0.0000 0.6644 0.0000

Properties
space-group type	No. 139
polymorph energy (0 for the lowest one)	37	kJ/mol of formula units
D(E_F)	12.92	states/eV per cell
ΔH_f (0 K)	0.16	eV/atom

---

8.
# TmHf2Pt9

A relaxed structure of TmHf2Pt9 (PBE-GGA, the Alexandria database).

abc: 4.0524 4.0524 12.1540
angles: 90.00 90.00 90.00
Fractional coordinates of all 12 atoms:
Tm 0.0000 0.0000 0.0000
Hf 0.0000 0.0000 0.3331
Hf 0.0000 0.0000 0.6669
Pt 0.5000 0.5000 0.0000
Pt 0.5000 0.5000 0.3367
Pt 0.5000 0.5000 0.6633
Pt 0.5000 0.0000 0.1731
Pt 0.5000 0.0000 0.5000
Pt 0.5000 0.0000 0.8269
Pt 0.0000 0.5000 0.1731
Pt 0.0000 0.5000 0.5000
Pt 0.0000 0.5000 0.8269

Properties
space-group type	No. 123
D(E_F)	2.37	states/eV per cell
ΔH_f (0 K)	-1.12	eV/atom

---

9.
# Np3TlO10

A relaxed structure of Np3TlO10 (PBE-GGA, the Alexandria database).

abc: 7.9465 7.9465 7.9465
angles: 60.00 60.00 60.00
Fractional coordinates of all 28 atoms:
Np 0.7393 0.7393 0.2607
Np 0.7393 0.2607 0.7393
Np 0.2607 0.7393 0.7393
Np 0.2607 0.2607 0.7393
Np 0.7393 0.2607 0.2607
Np 0.2607 0.7393 0.2607
Tl 0.2500 0.2500 0.2500
Tl 0.7500 0.7500 0.7500
O 0.0000 0.0000 0.3193
O 0.0000 0.3193 0.0000
O 0.3193 0.0000 0.0000
O 0.6807 0.3193 0.0000
O 0.3874 0.3874 0.3874
O 0.1623 0.6126 0.6126
O 0.3874 0.8377 0.3874
O 0.6807 0.0000 0.3193
O 0.3874 0.3874 0.8377
O 0.8377 0.3874 0.3874
O 0.6126 0.6126 0.1623
O 0.0000 0.0000 0.6807
O 0.3193 0.6807 0.0000
O 0.0000 0.6807 0.3193
O 0.0000 0.3193 0.6807
O 0.6807 0.0000 0.0000
O 0.6126 0.6126 0.6126
O 0.0000 0.6807 0.0000
O 0.6126 0.1623 0.6126
O 0.3193 0.0000 0.6807

Properties
space-group type	No. 225
E_form (uncorrected)	-2.2278	eV/atom
D(E_F)	22.50	states/eV per cell

---

10.
# TaTi2Co

A relaxed structure of TaTi2Co (PBE-GGA, the Alexandria database).

abc: 2.9306 2.9306 8.6668
angles: 80.27 80.27 60.00
Fractional coordinates of all 4 atoms:
Ti 0.2608 0.2608 0.2176
Ti 0.7392 0.7392 0.7824
Co 0.0000 0.0000 0.0000
Ta 0.5000 0.5000 0.5000

Properties
space-group type	No. 166
polymorph energy (0 for the lowest one)	79	kJ/mol of formula units
D(E_F)	6.01	states/eV per cell
ΔH_f (0 K)	0.02	eV/atom

---

11.
# Ga2BiCl8

A relaxed structure of Ga2BiCl8 (PBE-GGA, the Alexandria database).

abc: 7.8534 7.5388 7.5388
angles: 65.49 87.15 87.15
Fractional coordinates of all 11 atoms:
Ga 0.6899 0.7956 0.7956
Ga 0.3101 0.2044 0.2044
Bi 0.0000 0.0000 0.0000
Cl 0.1879 0.3315 0.9054
Cl 0.8121 0.0946 0.6685
Cl 0.4180 0.8309 0.8309
Cl 0.5820 0.1691 0.1691
Cl 0.1879 0.9054 0.3315
Cl 0.8121 0.6685 0.0946
Cl 0.7773 0.6319 0.6319
Cl 0.2227 0.3681 0.3681

Properties
space-group type	No. 12
E_form (uncorrected)	-0.9852	eV/atom